1.
10
Lattice="2.709 0.000 0.000 1.344 5.920 0.000 0.005 1.869 8.822" Properties=species:S:1:pos:R:3 comment="TcOsRu3 PBE relaxed" dos_ef_per_ev_fu=5.16 delta_e_f_ev_per_atom=0.09 volume_a3_per_cell=142 polymorph_energy_kj_per_mol_atoms=0.00 magnetic_moment_mub_per_fu=0.0 pbc="T T T"
Tc 0.679 0.471 2.206
Tc 3.380 7.318 6.616
Os 2.030 5.126 7.488
Os 2.029 2.663 1.335
Ru 0.679 3.597 5.743
Ru 0.680 2.959 8.392
Ru 2.028 5.778 4.852
Ru 2.031 2.011 3.971
Ru 3.379 4.830 0.431
Ru 3.380 4.191 3.080

2.
10
Lattice="2.871 1.658 6.706 -2.871 1.658 6.706 0.000 -3.315 6.706" Properties=species:S:1:pos:R:3 comment="Th2MnBePt6 PBE relaxed" dos_ef_per_ev_fu=3.53 delta_e_f_ev_per_atom=-0.80 volume_a3_per_cell=191 magnetic_moment_mub_per_fu=4.1 pbc="T T T"
Th 0.000 0.000 4.349
Th 0.000 0.000 15.771
Mn 0.000 0.000 10.060
Be 0.000 0.000 0.000
Pt 0.000 -1.636 8.123
Pt -1.417 0.818 8.123
Pt -1.417 -0.818 11.997
Pt 1.417 0.818 8.123
Pt 1.417 -0.818 11.997
Pt 0.000 1.636 11.997

3.
4
Lattice="6.670 -2.099 0.000 6.670 2.099 0.000 -0.950 0.000 4.359" Properties=species:S:1:pos:R:3 comment="LaTe2P PBE relaxed" dos_ef_per_ev_fu=1.15 volume_a3_per_cell=122 formation_energy_uncorrected_kj_per_mol_atoms=-78 magnetic_moment_mub_per_fu=0.0 pbc="T T T"
La 0.000 0.000 0.000
Te 3.714 0.000 0.278
Te 7.192 0.000 2.421
P 10.974 0.000 1.689

4.
9
Lattice="7.900 0.000 0.000 -3.950 6.841 0.000 0.000 0.000 3.595" Properties=species:S:1:pos:R:3 comment="Pr3In2BRu3 PBE relaxed" dos_ef_per_ev_fu=5.91 delta_e_f_ev_per_atom=-0.12 volume_a3_per_cell=194 magnetic_moment_mub_per_fu=0.0 pbc="T T T"
Pr -1.350 2.338 0.000
Pr 2.699 0.000 0.000
Pr 2.600 4.504 0.000
In 0.000 4.561 1.797
In 3.950 2.280 1.797
B 0.000 0.000 0.000
Ru -3.141 5.440 1.797
Ru 0.809 1.402 1.797
Ru 6.281 0.000 1.797

5.
8
Lattice="-2.534 2.545 9.813 2.534 -2.545 9.813 2.534 2.545 -9.813" Properties=species:S:1:pos:R:3 comment="Pr3Y3Sc2 PBE relaxed" dos_ef_per_ev_fu=13.75 delta_e_f_ev_per_atom=0.05 volume_a3_per_cell=253 magnetic_moment_mub_per_fu=0.0 pbc="T T T"
Pr 0.000 0.000 0.000
Pr 2.534 0.000 7.209
Pr 0.000 2.545 2.605
Y 2.534 0.000 2.598
Y 0.000 0.000 9.813
Y 0.000 2.545 7.215
Sc 0.000 0.000 4.895
Sc 0.000 0.000 14.732

6.
15
Lattice="3.513 2.028 11.937 -3.513 2.028 11.937 0.000 -4.056 11.937" Properties=species:S:1:pos:R:3 comment="La4Y8Er3 PBE relaxed" dos_ef_per_ev_fu=24.41 delta_e_f_ev_per_atom=0.11 volume_a3_per_cell=510 polymorph_energy_kj_per_mol_atoms=0.00 magnetic_moment_mub_per_fu=0.0 pbc="T T T"
La 0.000 0.000 0.000
La 0.000 0.000 5.875
La 0.000 0.000 17.906
La 0.000 0.000 29.936
Y 0.000 -2.014 14.869
Y -1.744 1.007 14.869
Y -1.744 -1.007 20.942
Y 0.000 0.000 9.168
Y 0.000 0.000 26.643
Y 1.744 1.007 14.869
Y 1.744 -1.007 20.942
Y 0.000 2.014 20.942
Er -1.756 -1.014 11.937
Er -1.756 1.014 23.874
Er 0.000 2.028 11.937